# La4Tb6Pm

A relaxed structure of La4Tb6Pm (PBE-GGA, the Alexandria database).

Cell: 6.838 6.838 16.843 Å, 90.00 90.00 90.00°
Space group I-42m (No. 121)
Asymmetric unit:
La 0.191 0.191 0.323
Tb 0.000 0.500 0.000
Tb 0.173 0.173 0.117
Pm 0.000 0.000 0.500

The value obtained for the electronic total energy is -98.06 eV per cell. Its crystal system is tetragonal. The spin magnetization is 0.00 μB/atom. For the distance to the lowest polymorph of the same formula, the calculation gives 0.131 eV/atom. As for the formation energy: 292.0 meV/atom. Its density of states at the Fermi level is 31.09 states/eV/cell.